Mn4Si4SnB2H2O18: optimized geometry, PBE+U.

Volume ... 11.38 A^3/atom
Crystal system ... triclinic
Symmetry ... P-1, No. 2
Density ... 3.589 g/cm3
Calculated total energy ... -0.2767 hartree per atom

a = 7.054 Å, b = 7.456 Å, c = 7.778 Å
α = 78.23°, β = 63.06°, γ = 76.86°
Fractional coordinates of all 31 atoms:
Mn  0.042  0.288  0.265
Mn  0.455  0.724  0.734
Mn  0.545  0.276  0.266
Mn  0.958  0.712  0.735
Si  0.246  0.676  0.223
Si  0.316  0.326  0.759
Si  0.684  0.674  0.241
Si  0.754  0.324  0.777
Sn  0.000  0.000  0.000
B  0.179  0.123  0.570
B  0.821  0.877  0.430
H  0.331  0.953  0.340
H  0.669  0.047  0.660
O  0.025  0.751  0.410
O  0.148  0.956  0.709
O  0.158  0.220  0.965
O  0.250  0.549  0.736
O  0.251  0.804  0.022
O  0.281  0.457  0.211
O  0.284  0.085  0.362
O  0.330  0.230  0.579
O  0.435  0.730  0.264
O  0.565  0.270  0.736
O  0.670  0.770  0.421
O  0.716  0.915  0.638
O  0.719  0.543  0.789
O  0.749  0.196  0.978
O  0.750  0.451  0.264
O  0.842  0.780  0.035
O  0.852  0.044  0.291
O  0.975  0.249  0.590